Below is crystalline BaNaLi3B6O12 at its relaxed geometry, with properties calculated at the GGA-PBEsol level.

Geometry as POSCAR:
```
BaNaLi3B6O12
1.0
4.721 2.726 6.217
-4.721 2.726 6.217
0.000 -5.451 6.217
Ba Na Li B O
2 2 6 12 24
Direct
0.148 0.148 0.148
0.852 0.852 0.852
0.332 0.332 0.332
0.668 0.668 0.668
0.218 0.721 0.401
0.279 0.599 0.782
0.401 0.218 0.721
0.599 0.782 0.279
0.721 0.401 0.218
0.782 0.279 0.599
0.068 0.488 0.691
0.133 0.168 0.684
0.168 0.684 0.133
0.309 0.932 0.512
0.316 0.867 0.832
0.488 0.691 0.068
0.512 0.309 0.932
0.684 0.133 0.168
0.691 0.068 0.488
0.832 0.316 0.867
0.867 0.832 0.316
0.932 0.512 0.309
0.058 0.813 0.241
0.097 0.526 0.191
0.119 0.639 0.650
0.178 0.344 0.620
0.187 0.759 0.942
0.191 0.097 0.526
0.241 0.058 0.813
0.344 0.620 0.178
0.350 0.881 0.361
0.361 0.350 0.881
0.380 0.822 0.656
0.474 0.809 0.903
0.526 0.191 0.097
0.620 0.178 0.344
0.639 0.650 0.119
0.650 0.119 0.639
0.656 0.380 0.822
0.759 0.942 0.187
0.809 0.903 0.474
0.813 0.241 0.058
0.822 0.656 0.380
0.881 0.361 0.350
0.903 0.474 0.809
0.942 0.187 0.759
```

Formation energy (no corrections) = -2.5072 eV per atom
Size of the total moment = 0.00 μB/f.u.

Below is crystalline PPbW2Se at its relaxed geometry, with properties calculated at the GGA-PBEsol level.

Geometry as POSCAR:
```
PPbW2Se
1.0
4.673 0.000 0.000
0.000 4.673 0.000
0.000 0.000 4.752
P Pb W Se
1 1 2 1
Direct
0.000 0.000 0.000
0.500 0.500 0.000
0.000 0.500 0.500
0.500 0.000 0.500
0.000 0.000 0.500
```

Formation energy (no corrections) = 1.6820 eV per atom
Size of the total moment = 0.01 μB/f.u.